PuTiZn: relaxed, PBE.

```
PuTiZn
1.0
2.6254 0.0000 0.0000
-1.3127 5.3961 -0.7969
0.0000 -3.2684 7.4366
Ti Pu Zn
2 2 2
direct
0.6242 0.2485 0.1867 Ti
0.3758 0.7515 0.8133 Ti
0.3866 0.7733 0.4814 Pu
0.6134 0.2267 0.5186 Pu
0.1286 0.2572 0.8740 Zn
0.8714 0.7428 0.1260 Zn
```

E_form = 0.15 eV per atom
Uncorrected energy = -7.6848 eV per atom
Calculated volume = 16.42 Å³ per atom